Computed, not measured: a relaxed ZrNp3P4 crystal at the GGA-PBE level of DFT.

Summary:
SG: Cmmm, No. 65
DFT total energy, eV/atom: -9.64
E_form, meV per atom: -1017
M_tot, Bohr magnetons per cell: 11.05

extended XYZ file:
```
8
Lattice="-1.409 -2.577 2.551 -5.122 -1.348 -4.192 5.142 -4.161 -1.364" Properties=species:S:1:pos:R:3 pbc="T T T"
Np -0.694 -4.043 -1.503
Np 2.571 -2.081 -0.682
Np -2.561 -0.674 -2.096
P 0.016 -4.175 -4.210
P -3.313 -3.326 -2.224
P 1.924 -4.761 -0.781
P 0.005 -1.335 -1.346
Zr -0.704 -1.289 1.275
```